Material: WBrO2
Method: DFT, GGA+U
State: optimized geometry

a = 3.0707 Å, b = 3.0707 Å, c = 26.1301 Å
α = 90.00°, β = 90.00°, γ = 120.00°
Space group R-3m (No. 166, hexagonal axes)
Symmetry-distinct sites (fractional):
W 0.0000 0.0000 0.0000
Br 0.0000 0.0000 0.5000
O 0.0000 0.0000 0.0692

Values from the calculation:
- density (kg/m³) = 6905
- energy above the lowest structure with this stoichiometry (eV/atom) = 1.331
- raw total energy (eV/atom) = -4.5398